one:
A relaxed AcTeCl crystal. Source: the Alexandria database, functional PBE.

a b c (Å): 5.0047 5.0047 4.5081
angles (deg): 90.00 90.00 120.00
Space group P3m1 (No. 156)
Unique sites:
Ac: 0.0000 0.0000 0.0000 (multiplicity 1)
Te: 0.3333 0.6667 0.5008 (multiplicity 1)
Cl: 0.6667 0.3333 0.0016 (multiplicity 1)

=====

two:
A relaxed AcTeCl crystal. Source: the Alexandria database, functional PBE.

a b c (Å): 4.2403 4.2403 10.2664
angles (deg): 90.00 90.00 90.00
Space group I4mm (No. 107)
Unique sites:
Ac: 0.0000 0.0000 0.0000 (multiplicity 2)
Te: 0.0000 0.0000 0.3404 (multiplicity 2)
Cl: 0.0000 0.0000 0.6555 (multiplicity 2)

=====

Energy above the most stable structure, in meV per atom: one 0; two 177

=====

one:
A relaxed Ac2TeCl crystal. Source: the Alexandria database, functional PBE.

a b c (Å): 3.9974 3.9974 7.8251
angles (deg): 90.00 90.00 90.00
Space group P4/mmm (No. 123)
Unique sites:
Ac: 0.0000 0.0000 0.2474 (multiplicity 2)
Te: 0.5000 0.5000 0.0000 (multiplicity 1)
Cl: 0.5000 0.5000 0.5000 (multiplicity 1)

=====

two:
A relaxed Ac2TeCl crystal. Source: the Alexandria database, functional PBE.

a b c (Å): 4.5335 4.5335 22.3679
angles (deg): 90.00 90.00 120.00
Space group R-3m (No. 166, hexagonal axes)
Unique sites:
Ac: 0.0000 0.0000 0.2422 (multiplicity 6)
Te: 0.0000 0.0000 0.0000 (multiplicity 3)
Cl: 0.0000 0.0000 0.5000 (multiplicity 3)

=====

Energy above the most stable structure, in meV per atom: one 147; two 0

=====

one:
A relaxed Ac2TeCl crystal. Source: the Alexandria database, functional PBE.

a b c (Å): 4.1893 4.1893 26.9745
angles (deg): 90.00 90.00 120.00
Space group R3m (No. 160, hexagonal axes)
Unique sites:
Ac: 0.0000 0.0000 0.0000 (multiplicity 3)
Ac: 0.0000 0.0000 0.1670 (multiplicity 3)
Te: 0.0000 0.0000 0.5831 (multiplicity 3)
Cl: 0.0000 0.0000 0.4177 (multiplicity 3)

=====

two:
A relaxed Ac2TeCl crystal. Source: the Alexandria database, functional PBE.

a b c (Å): 7.9298 7.9298 7.9298
angles (deg): 90.00 90.00 90.00
Space group Fm-3m (No. 225)
Unique sites:
Ac: 0.2500 0.2500 0.2500 (multiplicity 8)
Te: 0.0000 0.0000 0.0000 (multiplicity 4)
Cl: 0.0000 0.0000 0.5000 (multiplicity 4)

=====

Energy above the most stable structure, in meV per atom: one 0; two 55

=====

one:
A relaxed AcTlCl4 crystal. Source: the Alexandria database, functional PBE.

a b c (Å): 7.8184 4.5684 19.9754
angles (deg): 90.00 90.00 90.00
Space group Pnma (No. 62)
Unique sites:
Ac: 0.2472 0.2500 0.0606 (multiplicity 4)
Tl: 0.2068 0.7500 0.2898 (multiplicity 4)
Cl: 0.0103 0.7500 0.4369 (multiplicity 4)
Cl: 0.0902 0.7500 0.1372 (multiplicity 4)
Cl: 0.0905 0.7500 0.6973 (multiplicity 4)
Cl: 0.1426 0.7500 0.9640 (multiplicity 4)

=====

two:
A relaxed AcTlCl4 crystal. Source: the Alexandria database, functional PBE.

a b c (Å): 9.9198 13.6375 7.6016
angles (deg): 90.00 125.70 90.00
Space group C2/c (No. 15)
Unique sites:
Ac: 0.0000 0.0151 0.2500 (multiplicity 4)
Tl: 0.0000 0.3615 0.7500 (multiplicity 4)
Cl: 0.1010 0.1615 0.0534 (multiplicity 8)
Cl: 0.2259 0.4427 0.2796 (multiplicity 8)

=====

Energy above the most stable structure, in meV per atom: one 0; two 105

=====

one:
A relaxed AcCo2 crystal. Source: the Alexandria database, functional PBE.

a b c (Å): 7.5479 7.5479 7.5479
angles (deg): 90.00 90.00 90.00
Space group Fd-3m (No. 227, origin choice 2)
Unique sites:
Ac: 0.1250 0.1250 0.1250 (multiplicity 8)
Co: 0.0000 0.0000 0.5000 (multiplicity 16)

=====

two:
A relaxed AcCo2 crystal. Source: the Alexandria database, functional PBE.

a b c (Å): 4.0067 4.0067 4.4677
angles (deg): 90.00 90.00 120.00
Space group P6/mmm (No. 191)
Unique sites:
Ac: 0.0000 0.0000 0.0000 (multiplicity 1)
Co: 0.3333 0.6667 0.5000 (multiplicity 2)

=====

Energy above the most stable structure, in meV per atom: one 165; two 0

=====

one:
A relaxed Ac5Co crystal. Source: the Alexandria database, functional PBE.

a b c (Å): 3.9885 19.1240 6.4393
angles (deg): 90.00 90.00 90.00
Space group Cmmm (No. 65)
Unique sites:
Ac: 0.0000 0.0000 0.0000 (multiplicity 2)
Ac: 0.0000 0.1065 0.5000 (multiplicity 4)
Ac: 0.0000 0.3343 0.0000 (multiplicity 4)
Co: 0.0000 0.5000 0.5000 (multiplicity 2)

=====

two:
A relaxed Ac5Co crystal. Source: the Alexandria database, functional PBE.

a b c (Å): 13.0139 3.9268 9.4264
angles (deg): 90.00 103.90 90.00
Space group Cm (No. 8)
Unique sites:
Ac: 0.0000 0.0000 0.0000 (multiplicity 2)
Ac: 0.0801 0.0000 0.4159 (multiplicity 2)
Ac: 0.1901 0.5000 0.8132 (multiplicity 2)
Ac: 0.2935 0.0000 0.1979 (multiplicity 2)
Ac: 0.3855 0.0000 0.6317 (multiplicity 2)
Co: 0.1187 0.5000 0.1951 (multiplicity 2)

=====

Energy above the most stable structure, in meV per atom: one 177; two 0

=====

one:
A relaxed Ac4Co crystal. Source: the Alexandria database, functional PBE.

a b c (Å): 5.7934 5.7934 5.7934
angles (deg): 90.00 90.00 90.00
Space group Pm-3m (No. 221)
Unique sites:
Ac: 0.0000 0.0000 0.0000 (multiplicity 1)
Ac: 0.0000 0.5000 0.5000 (multiplicity 3)
Co: 0.5000 0.5000 0.5000 (multiplicity 1)

=====

two:
A relaxed Ac4Co crystal. Source: the Alexandria database, functional PBE.

a b c (Å): 8.1487 14.1983 6.7850
angles (deg): 90.00 90.00 90.00
Space group Cmce (No. 64)
Unique sites:
Ac: 0.0000 0.1695 0.2228 (multiplicity 8)
Ac: 0.2500 0.0818 0.7500 (multiplicity 8)
Co: 0.0000 0.0000 0.0000 (multiplicity 4)

=====

Energy above the most stable structure, in meV per atom: one 58; two 0

=====

one:
A relaxed AcCoCu crystal. Source: the Alexandria database, functional PBE.

a b c (Å): 4.2143 4.2143 4.2250
angles (deg): 90.00 90.00 120.00
Space group P-6m2 (No. 187)
Unique sites:
Ac: 0.0000 0.0000 0.0000 (multiplicity 1)
Co: 0.3333 0.6667 0.5000 (multiplicity 1)
Cu: 0.6667 0.3333 0.5000 (multiplicity 1)

=====

two:
A relaxed AcCoCu crystal. Source: the Alexandria database, functional PBE.

a b c (Å): 6.0385 5.7286 7.7160
angles (deg): 90.00 112.25 90.00
Space group P2_1/c (No. 14)
Unique sites:
Ac: 0.2021 0.1180 0.3788 (multiplicity 4)
Co: 0.1822 0.6053 0.5355 (multiplicity 4)
Cu: 0.3990 0.6023 0.3094 (multiplicity 4)

=====

Energy above the most stable structure, in meV per atom: one 0; two 20

=====

one:
A relaxed AcNdCoCu crystal. Source: the Alexandria database, functional PBE.

a b c (Å): 4.4639 4.0324 10.8160
angles (deg): 90.00 90.00 90.00
Space group Amm2 (No. 38)
Unique sites:
Ac: 0.0000 0.0000 0.0000 (multiplicity 2)
Nd: 0.5000 0.0000 0.7220 (multiplicity 2)
Co: 0.0000 0.0000 0.2870 (multiplicity 2)
Cu: 0.5000 0.0000 0.4188 (multiplicity 2)

=====

two:
A relaxed AcNdCoCu crystal. Source: the Alexandria database, functional PBE.

a b c (Å): 7.2325 7.2325 7.2325
angles (deg): 90.00 90.00 90.00
Space group F-43m (No. 216)
Unique sites:
Ac: 0.0000 0.0000 0.0000 (multiplicity 4)
Nd: 0.0000 0.0000 0.5000 (multiplicity 4)
Co: 0.2500 0.2500 0.7500 (multiplicity 4)
Cu: 0.2500 0.2500 0.2500 (multiplicity 4)

=====

Energy above the most stable structure, in meV per atom: one 0; two 79

=====

one:
A relaxed AcPmCoCu crystal. Source: the Alexandria database, functional PBE.

a b c (Å): 7.2083 7.2083 7.2083
angles (deg): 90.00 90.00 90.00
Space group F-43m (No. 216)
Unique sites:
Ac: 0.0000 0.0000 0.0000 (multiplicity 4)
Pm: 0.0000 0.0000 0.5000 (multiplicity 4)
Co: 0.2500 0.2500 0.7500 (multiplicity 4)
Cu: 0.2500 0.2500 0.2500 (multiplicity 4)

=====

two:
A relaxed AcPmCoCu crystal. Source: the Alexandria database, functional PBE.

a b c (Å): 4.4624 4.0118 10.7652
angles (deg): 90.00 90.00 90.00
Space group Amm2 (No. 38)
Unique sites:
Ac: 0.0000 0.0000 0.0000 (multiplicity 2)
Pm: 0.5000 0.0000 0.2785 (multiplicity 2)
Co: 0.0000 0.0000 0.7150 (multiplicity 2)
Cu: 0.5000 0.0000 0.5821 (multiplicity 2)

=====

Energy above the most stable structure, in meV per atom: one 78; two 0

=====

one:
A relaxed AcEuCo crystal. Source: the Alexandria database, functional PBE.

a b c (Å): 3.6387 3.6387 13.5637
angles (deg): 90.00 90.00 90.00
Space group I4mm (No. 107)
Unique sites:
Ac: 0.0000 0.0000 0.0000 (multiplicity 2)
Eu: 0.0000 0.0000 0.7484 (multiplicity 2)
Co: 0.0000 0.0000 0.3786 (multiplicity 2)

=====

two:
A relaxed AcEuCo crystal. Source: the Alexandria database, functional PBE.

a b c (Å): 4.1198 4.1198 6.6200
angles (deg): 90.00 90.00 120.00
Space group P3m1 (No. 156)
Unique sites:
Ac: 0.0000 0.0000 0.0000 (multiplicity 1)
Eu: 0.6667 0.3333 0.5320 (multiplicity 1)
Co: 0.3333 0.6667 0.7735 (multiplicity 1)

=====

Energy above the most stable structure, in meV per atom: one 52; two 0

=====

one:
A relaxed Ac2EuCo crystal. Source: the Alexandria database, functional PBE.

a b c (Å): 3.7447 3.7447 9.7628
angles (deg): 90.00 90.00 90.00
Space group P4/mmm (No. 123)
Unique sites:
Ac: 0.0000 0.0000 0.1810 (multiplicity 2)
Eu: 0.5000 0.5000 0.5000 (multiplicity 1)
Co: 0.5000 0.5000 0.0000 (multiplicity 1)

=====

two:
A relaxed Ac2EuCo crystal. Source: the Alexandria database, functional PBE.

a b c (Å): 4.1564 4.1564 30.0843
angles (deg): 90.00 90.00 120.00
Space group R-3m (No. 166, hexagonal axes)
Unique sites:
Ac: 0.0000 0.0000 0.2192 (multiplicity 6)
Eu: 0.0000 0.0000 0.0000 (multiplicity 3)
Co: 0.0000 0.0000 0.5000 (multiplicity 3)

=====

Energy above the most stable structure, in meV per atom: one 119; two 0

=====

one:
A relaxed AcGa9Co2 crystal. Source: the Alexandria database, functional PBE.

a b c (Å): 10.4588 10.4588 7.5261
angles (deg): 90.00 90.00 90.00
Space group I4_1/amd (No. 141, origin choice 2)
Unique sites:
Ac: 0.0000 0.2500 0.3750 (multiplicity 4)
Ga: 0.0000 0.2500 0.8750 (multiplicity 4)
Ga: 0.1223 0.0498 0.6968 (multiplicity 32)
Co: 0.0000 0.0000 0.0000 (multiplicity 8)

=====

two:
A relaxed AcGa9Co2 crystal. Source: the Alexandria database, functional PBE.

a b c (Å): 7.9081 7.9081 3.9375
angles (deg): 90.00 90.00 120.00
Space group P6/mmm (No. 191)
Unique sites:
Ac: 0.0000 0.0000 0.0000 (multiplicity 1)
Ga: 0.0000 0.5000 0.0000 (multiplicity 3)
Ga: 0.2093 0.4186 0.5000 (multiplicity 6)
Co: 0.3333 0.6667 0.0000 (multiplicity 2)

=====

Energy above the most stable structure, in meV per atom: one 87; two 0